Density functional theory data (PBE-GGA) for crystalline Li2Al at its relaxed geometry.

Cell: 2.8134 15.3657 4.6484 Å, 90.00 90.00 90.00°
Space group Cmcm (No. 63)
One atom of each set of equivalent atoms:
Li: 0.0000 0.0499 0.2500 x4
Li: 0.0000 0.2792 0.7500 x4
Al: 0.0000 0.3837 0.2500 x4

Density functional theory data (PBE-GGA) for crystalline Hf2MnCoSi at its relaxed geometry.

Values from the calculation:
- Uncorrected formation energy: 308 kJ/mol of formula units

Cell: 4.8637 4.8637 4.2016 Å, 90.00 90.00 90.00°
Space group P4/mmm (No. 123)
One atom of each set of equivalent atoms:
Hf: 0.0000 0.5000 0.0000 x2
Mn: 0.0000 0.0000 0.5000 x1
Co: 0.5000 0.5000 0.5000 x1
Si: 0.0000 0.0000 0.0000 x1

Density functional theory data (PBE-GGA) for crystalline Ac5NdY4 at its relaxed geometry.

Cell: 19.3568 5.4843 7.4944 Å, 90.00 105.12 90.00°
Space group C2/m (No. 12)
One atom of each set of equivalent atoms:
Ac: 0.0000 0.0000 0.0000 x2
Ac: 0.1009 0.5000 0.8033 x4
Ac: 0.2005 0.0000 0.6020 x4
Nd: 0.0000 0.0000 0.5000 x2
Y: 0.1004 0.5000 0.3016 x4
Y: 0.1995 0.0000 0.1010 x4

Density functional theory data (PBE-GGA) for crystalline Sr5Si2I2 at its relaxed geometry.

Values from the calculation:
- Uncorrected formation energy: -706 kJ/mol of formula units

Cell: 16.7890 8.9367 8.9558 Å, 90.00 90.00 90.00°
Space group Cmce (No. 64)
One atom of each set of equivalent atoms:
Sr: 0.0000 0.0000 0.0000 x4
Sr: 0.1083 0.1445 0.3566 x16
Si: 0.0000 0.1599 0.6596 x8
I: 0.2091 0.0000 0.0000 x8

Density functional theory data (PBE-GGA) for crystalline Tb5Nd4Sc at its relaxed geometry.

Values from the calculation:
- E above lowest polymorph: 0.05 eV/f.u.

Cell: 14.7728 5.7074 9.9078 Å, 90.00 126.34 90.00°
Space group C2/m (No. 12)
One atom of each set of equivalent atoms:
Tb: 0.0000 0.0000 0.0000 x2
Tb: 0.0580 0.5000 0.2212 x4
Tb: 0.0996 0.0000 0.4540 x4
Nd: 0.1950 0.0000 0.8677 x4
Nd: 0.2470 0.5000 0.6885 x4
Sc: 0.0000 0.5000 0.5000 x2

Density functional theory data (PBE-GGA) for crystalline MgScNi2 at its relaxed geometry.

Cell: 9.6075 2.9400 4.4923 Å, 90.00 106.21 90.00°
Space group Cm (No. 8)
One atom of each set of equivalent atoms:
Mg: 0.0000 0.0000 0.0000 x2
Sc: 0.2132 0.0000 0.6417 x2
Ni: 0.2490 0.5000 0.1686 x2
Ni: 0.4599 0.0000 0.4674 x2

Density functional theory data (PBE-GGA) for crystalline Li3Nd3NpS8 at its relaxed geometry.

Values from the calculation:
- Uncorrected formation energy: -2409 kJ/mol of formula units

Cell: 8.1481 8.1481 18.4691 Å, 90.00 90.00 120.00°
Space group R-3m (No. 166, hexagonal axes)
One atom of each set of equivalent atoms:
Li: 0.0000 0.5000 0.0000 x9
Nd: 0.0000 0.5000 0.5000 x9
Np: 0.0000 0.0000 0.5000 x3
S: 0.0000 0.0000 0.2520 x6
S: 0.0170 0.5085 0.2484 x18

Density functional theory data (PBE-GGA) for crystalline SrRu2Pt at its relaxed geometry.

Values from the calculation:
- E above lowest polymorph: 1.06 eV/f.u.

Cell: 9.6293 2.9224 5.5599 Å, 90.00 101.17 90.00°
Space group C2/m (No. 12)
One atom of each set of equivalent atoms:
Sr: 0.0000 0.0000 0.0000 x2
Ru: 0.2310 0.0000 0.6739 x4
Pt: 0.0000 0.5000 0.5000 x2

Density functional theory data (PBE-GGA) for crystalline LiCoAgSb at its relaxed geometry.

Values from the calculation:
- Uncorrected formation energy: -27 kJ/mol of formula units

Cell: 6.3053 6.3053 6.3053 Å, 90.00 90.00 90.00°
Space group F-43m (No. 216)
One atom of each set of equivalent atoms:
Li: 0.0000 0.0000 0.0000 x4
Co: 0.0000 0.0000 0.5000 x4
Ag: 0.2500 0.2500 0.2500 x4
Sb: 0.2500 0.2500 0.7500 x4

Density functional theory data (PBE-GGA) for crystalline Te2W at its relaxed geometry.

Values from the calculation:
- Uncorrected formation energy: 55 kJ/mol of formula units

Cell: 3.2940 3.2940 13.9718 Å, 90.00 90.00 90.00°
Space group I4/mmm (No. 139)
One atom of each set of equivalent atoms:
Te: 0.0000 0.0000 0.1207 x4
W: 0.0000 0.0000 0.5000 x2

Density functional theory data (PBE-GGA) for crystalline SrScBe2 at its relaxed geometry.

Values from the calculation:
- E above lowest polymorph: 0.12 eV/f.u.

Cell: 3.4581 3.4581 6.8659 Å, 90.00 90.00 90.00°
Space group P4/mmm (No. 123)
One atom of each set of equivalent atoms:
Sr: 0.0000 0.0000 0.0000 x1
Sc: 0.0000 0.0000 0.5000 x1
Be: 0.5000 0.5000 0.3296 x2

Density functional theory data (PBE-GGA) for crystalline CeMgS3 at its relaxed geometry.

Values from the calculation:
- Uncorrected formation energy: -767 kJ/mol of formula units
- E above lowest polymorph: 0.00 eV/f.u.

Cell: 7.3343 3.8473 7.6312 Å, 90.00 95.99 90.00°
Space group P2_1/m (No. 11)
One atom of each set of equivalent atoms:
Ce: 0.1279 0.2500 0.2713 x2
Mg: 0.3621 0.7500 0.8393 x2
S: 0.1164 0.2500 0.8804 x2
S: 0.1919 0.7500 0.5305 x2
S: 0.4020 0.7500 0.1757 x2

Number 1: DFT total energy -31.48 eV/cell. Number 2: DFT total energy -38.42 eV/cell. Number 3: DFT total energy -101.58 eV/cell. Number 4: DFT total energy -118.68 eV/cell. Number 5: DFT total energy -92.77 eV/cell. Number 6: DFT total energy -40.94 eV/cell. Number 7: DFT total energy -272.91 eV/cell. Number 8: DFT total energy -49.85 eV/cell. Number 9: DFT total energy -65.11 eV/cell. Number 10: DFT total energy -37.33 eV/cell. Number 11: DFT total energy -14.54 eV/cell. Number 12: DFT total energy -55.73 eV/cell.